Computed, not measured: a relaxed Ag3Pd3Au2 crystal at the PBE-GGA level of DFT.

a = 4.1312 Å, b = 4.0554 Å, c = 8.5780 Å
α = 103.67°, β = 103.97°, γ = 90.00°
Closest atoms and distances in Å follow each position.
Fractional positions:
Ag (0.3775, 0.8775, 0.7550)  6 Pd 2.83-2.89, 2 Ag 2.86, 4 Au 2.89-2.92
Ag (0.6225, 0.1225, 0.2450)  6 Pd 2.83-2.89, 2 Ag 2.86, 4 Au 2.89-2.92
Ag (0.0000, 0.0000, 0.0000)  8 Pd 2.85-2.89, 4 Ag 2.86
Pd (0.8758, 0.3758, 0.7516)  6 Ag 2.85-2.89, 4 Au 2.87-2.90, 2 Pd 2.88
Pd (0.5000, 0.5000, 0.0000)  8 Ag 2.83-2.89, 4 Pd 2.88
Pd (0.1242, 0.6242, 0.2484)  6 Ag 2.85-2.89, 4 Au 2.87-2.90, 2 Pd 2.88
Au (0.7501, 0.7500, 0.5001)  4 Pd 2.87-2.90, 4 Ag 2.89-2.92, 4 Au 2.89
Au (0.2499, 0.2500, 0.4999)  4 Pd 2.87-2.90, 4 Ag 2.89-2.92, 4 Au 2.89

Results
E_tot	-3.89	eV/atom
volume	135.26	Å³/cell
SG	Immm, No. 71
energy of formation from the pure elements	-0.0565	eV/atom
E above lowest polymorph	8	meV/atom